This record from the Alexandria database describes an optimized crystal structure of Na3Ti3MnO8. The functional is PBE with a Hubbard U.

Final energy: -7.269 eV per atom

abc: 5.9818 5.9818 16.5336
angles: 90.00 90.00 120.00
With the nearest neighbours (Å) after each atom.
Space group R-3m (No. 166, hexagonal axes)
Symmetry-distinct sites (fractional):
Na (0.0000, 0.5000, 0.0000) [9 per cell]  6 O 2.38-2.43
Ti (0.0000, 0.5000, 0.5000) [9 per cell]  6 O 2.01-2.05
Mn (0.0000, 0.0000, 0.5000) [3 per cell]  6 O 2.08
O (0.0000, 0.0000, 0.2339) [6 per cell]  3 Ti 2.05
O (0.0112, 0.5056, 0.7685) [18 per cell]  2 Ti 2.01, 1 Mn 2.08